Entry from OQMD via LeMat-Bulk: TaTlZnCu after structural relaxation (PBE-GGA). Values from VASP.

Structure (Quantum ESPRESSO input):
```
&SYSTEM
  ibrav = 0, nat = 4, ntyp = 4
/
ATOMIC_SPECIES
Cu 63.55 Cu.upf
Ta 180.95 Ta.upf
Zn 65.41 Zn.upf
Tl 204.38 Tl.upf
CELL_PARAMETERS angstrom
1.8493 3.5859 2.2595
-2.4525 2.2033 3.2426
1.1546 -0.4227 4.4578
ATOMIC_POSITIONS crystal
Cu 0.7500 0.7500 0.7500
Ta 0.2500 0.2500 0.2500
Zn 0.5000 0.5000 0.5000
Tl 0.0000 0.0000 0.0000
```

Total magnetic moment ... 0.242 Bohr magnetons per cell
Total DFT energy (no corrections) ... -4.18 eV per atom
Relative energy among the computed polymorphs ... 20 meV/atom
Space-group type ... F-43m, No. 216

---

Entry from OQMD via LeMat-Bulk: TaTlZnCu after structural relaxation (PBE-GGA). Values from VASP.

Structure (Quantum ESPRESSO input):
```
&SYSTEM
  ibrav = 0, nat = 4, ntyp = 4
/
ATOMIC_SPECIES
Zn 65.41 Zn.upf
Ta 180.95 Ta.upf
Cu 63.55 Cu.upf
Tl 204.38 Tl.upf
CELL_PARAMETERS angstrom
1.9055 -4.0533 0.9926
-2.5540 -3.3534 1.8102
-1.0400 -3.6988 -2.5065
ATOMIC_POSITIONS crystal
Zn 0.2500 0.2500 0.2500
Ta 0.5000 0.5000 0.5000
Cu 0.7500 0.7500 0.7500
Tl 0.0000 0.0000 0.0000
```

Total magnetic moment ... 0.627 Bohr magnetons per cell
Total DFT energy (no corrections) ... -4.20 eV per atom
Relative energy among the computed polymorphs ... 0 meV/atom
Space-group type ... F-43m, No. 216

---

Entry from OQMD via LeMat-Bulk: UTaCu after structural relaxation (PBE-GGA). Values from VASP.

Structure (Quantum ESPRESSO input):
```
&SYSTEM
  ibrav = 0, nat = 3, ntyp = 3
/
ATOMIC_SPECIES
Ta 180.95 Ta.upf
U 238.03 U.upf
Cu 63.55 Cu.upf
CELL_PARAMETERS angstrom
-0.9340 -1.4256 4.1177
-3.3950 -2.8082 0.6693
0.8015 -4.2366 1.1266
ATOMIC_POSITIONS crystal
Ta 0.5000 0.5000 0.5000
U 0.2500 0.2500 0.2500
Cu 0.0000 0.0000 0.0000
```

Total magnetic moment ... 0.091 Bohr magnetons per cell
Total DFT energy (no corrections) ... -7.63 eV per atom
Relative energy among the computed polymorphs ... 477 meV/atom
Space-group type ... F-43m, No. 216
Calculated formation energy ... 1.33 eV per atom

---

Entry from OQMD via LeMat-Bulk: UTaCu after structural relaxation (PBE-GGA). Values from VASP.

Structure (Quantum ESPRESSO input):
```
&SYSTEM
  ibrav = 0, nat = 3, ntyp = 3
/
ATOMIC_SPECIES
Ta 180.95 Ta.upf
Cu 63.55 Cu.upf
U 238.03 U.upf
CELL_PARAMETERS angstrom
0.0000 3.1092 3.1092
3.1092 0.0000 3.1092
3.1092 3.1092 0.0000
ATOMIC_POSITIONS crystal
Ta 0.2500 0.2500 0.2500
Cu 0.0000 0.0000 0.0000
U 0.7500 0.7500 0.7500
```

Total magnetic moment ... 1.280 Bohr magnetons per cell
Total DFT energy (no corrections) ... -8.11 eV per atom
Relative energy among the computed polymorphs ... 0 meV/atom
Space-group type ... F-43m, No. 216
Calculated formation energy ... 0.85 eV per atom

---

Entry from OQMD via LeMat-Bulk: TaCuW2 after structural relaxation (PBE-GGA). Values from VASP.

Structure (Quantum ESPRESSO input):
```
&SYSTEM
  ibrav = 0, nat = 4, ntyp = 3
/
ATOMIC_SPECIES
W 183.84 W.upf
Cu 63.55 Cu.upf
Ta 180.95 Ta.upf
CELL_PARAMETERS angstrom
0.0000 3.1597 3.1597
3.1597 0.0000 3.1597
3.1597 3.1597 0.0000
ATOMIC_POSITIONS crystal
W 0.7500 0.7500 0.7500
Cu 0.2500 0.2500 0.2500
Ta 0.5000 0.5000 0.5000
W 0.0000 0.0000 0.0000
```

Total magnetic moment ... 0.000 Bohr magnetons per cell
Total DFT energy (no corrections) ... -10.13 eV per atom
Space-group type ... F-43m, No. 216
Calculated formation energy ... 0.24 eV per atom

---

Entry from OQMD via LeMat-Bulk: TaZnCuW after structural relaxation (PBE-GGA). Values from VASP.

Structure (Quantum ESPRESSO input):
```
&SYSTEM
  ibrav = 0, nat = 4, ntyp = 4
/
ATOMIC_SPECIES
Ta 180.95 Ta.upf
Zn 65.41 Zn.upf
W 183.84 W.upf
Cu 63.55 Cu.upf
CELL_PARAMETERS angstrom
0.0000 3.1523 3.1523
3.1523 0.0000 3.1523
3.1523 3.1523 0.0000
ATOMIC_POSITIONS crystal
Ta 0.5000 0.5000 0.5000
Zn 0.0000 0.0000 0.0000
W 0.2500 0.2500 0.2500
Cu 0.7500 0.7500 0.7500
```

Total magnetic moment ... 0.008 Bohr magnetons per cell
Total DFT energy (no corrections) ... -7.02 eV per atom
Relative energy among the computed polymorphs ... 0 meV/atom
Space-group type ... F-43m, No. 216
Calculated formation energy ... 0.43 eV per atom

---

These records have volume values of 69.9 68.3 62.6 60.1 63.1 62.6 Å³/cell, in the order they appear.